[1]
Be2NbAu | PBE-GGA | optimized geometry

Size of the total moment ... 0.00 μB per formula unit
Excess energy over the best structure of this formula in the dataset ... 0 meV per atom
DFT formation energy ... -96 meV/atom
D(E_F) ... 1.94 states/eV/cell

Cell: 2.8905 2.8905 6.3173 Å, 90.00 90.00 90.00°
Closest atoms and distances in Å follow each position.
Space group P4/mmm (No. 123)
Inequivalent atoms, fractional coordinates:
Be: 0.0000 0.0000 0.2285 [2 per cell]  4 Au 2.50, 4 Nb 2.67
Nb: 0.5000 0.5000 0.5000 [1 per cell]  8 Be 2.67, 4 Nb 2.89
Au: 0.5000 0.5000 0.0000 [1 per cell]  8 Be 2.50

[2]
BaTl3Ag | PBE-GGA | optimized geometry

Size of the total moment ... 0.00 μB per formula unit
DFT formation energy ... -32 meV/atom
D(E_F) ... 4.42 states/eV/cell

Cell: 5.5827 5.5827 5.5827 Å, 90.00 90.00 90.00°
Closest atoms and distances in Å follow each position.
Space group Pm-3m (No. 221)
Inequivalent atoms, fractional coordinates:
Ba: 0.0000 0.0000 0.0000 [1 per cell]  12 Tl 3.95
Tl: 0.0000 0.5000 0.5000 [3 per cell]  2 Ag 2.79
Ag: 0.5000 0.5000 0.5000 [1 per cell]  6 Tl 2.79

[3]
CePaPt2 | PBE-GGA | optimized geometry

Size of the total moment ... 1.44 μB per formula unit
Excess energy over the best structure of this formula in the dataset ... 130 meV per atom
DFT formation energy ... -869 meV/atom
D(E_F) ... 9.47 states/eV/cell

Cell: 3.5532 3.5532 7.1406 Å, 90.00 90.00 90.00°
Closest atoms and distances in Å follow each position.
Space group P4/mmm (No. 123)
Inequivalent atoms, fractional coordinates:
Ce: 0.0000 0.0000 0.0000 [1 per cell]  8 Pt 3.20, 4 Ce 3.55, 2 Pa 3.57
Pa: 0.0000 0.0000 0.5000 [1 per cell]  8 Pt 2.97
Pt: 0.5000 0.5000 0.2781 [2 per cell]  4 Pa 2.97, 1 Pt 3.17, 4 Ce 3.20

[4]
Ce3DyZr2P6 | PBE-GGA | optimized geometry

Size of the total moment ... 0.00 μB per formula unit
DFT formation energy ... -1492 meV/atom
D(E_F) ... 21.05 states/eV/cell

Cell: 6.8266 11.8260 6.8392 Å, 90.00 109.46 90.00°
Closest atoms and distances in Å follow each position.
Space group C2/m (No. 12)
Inequivalent atoms, fractional coordinates:
Ce: 0.0000 0.0000 0.0000 [2 per cell]  6 P 2.81-2.86
Ce: 0.0000 0.3359 0.0000 [4 per cell]  6 P 2.82-2.86
Dy: 0.0000 0.5000 0.5000 [2 per cell]  6 P 2.78
Zr: 0.0000 0.1673 0.5000 [4 per cell]  6 P 2.71-2.72
P: 0.2364 0.0000 0.7336 [4 per cell]  2 Zr 2.71, 1 Dy 2.78, 3 Ce 2.81-2.85
P: 0.2504 0.1706 0.2635 [8 per cell]  2 Zr 2.71-2.72, 1 Dy 2.78, 3 Ce 2.82-2.86

[5]
GaReO3 | PBE-GGA | optimized geometry

Size of the total moment ... 0.00 μB per formula unit
E_form (uncorrected) ... -1144 meV/atom
D(E_F) ... 1.79 states/eV/cell

Cell: 3.9052 3.9052 3.9052 Å, 90.00 90.00 90.00°
Closest atoms and distances in Å follow each position.
Space group Pm-3m (No. 221)
Inequivalent atoms, fractional coordinates:
Ga: 0.0000 0.0000 0.0000 [1 per cell]  12 O 2.76
Re: 0.5000 0.5000 0.5000 [1 per cell]  6 O 1.95
O: 0.0000 0.5000 0.5000 [3 per cell]  2 Re 1.95

[6]
Li6Ga2Si | PBE-GGA | optimized geometry

Size of the total moment ... 0.00 μB per formula unit
E_form (uncorrected) ... -249 meV/atom
D(E_F) ... 8.84 states/eV/cell

Cell: 7.6541 7.6541 7.8886 Å, 90.00 90.00 120.00°
Closest atoms and distances in Å follow each position.
Space group R-3m (No. 166, hexagonal axes)
Inequivalent atoms, fractional coordinates:
Li: 0.0000 0.3356 0.0000 [18 per cell]  5 Li 2.52-2.63
Ga: 0.0000 0.0000 0.1656 [6 per cell]  1 Ga 2.61, 1 Si 2.64, 12 Li 2.87-2.88
Si: 0.0000 0.0000 0.5000 [3 per cell]  2 Ga 2.64, 12 Li 2.86